A geometry-optimized Li2MnSeO4 structure, computed with PBE with a Hubbard U.

Cell and atoms, written as CIF:
```
data_Li2MnSeO4
_symmetry_space_group_name_H-M 'C 1 2/c 1'
_symmetry_Int_Tables_number 15
_cell_length_a 8.367
_cell_length_b 8.207
_cell_length_c 6.346
_cell_angle_alpha 90.00
_cell_angle_beta 126.22
_cell_angle_gamma 90.00
loop_
_symmetry_equiv_pos_as_xyz
'x,y,z'
'-x,-y,-z'
'-x,y,-z+1/2'
'x,-y,z+1/2'
'x+1/2,y+1/2,z'
'-x+1/2,-y+1/2,-z'
'-x+1/2,y+1/2,-z+1/2'
'x+1/2,-y+1/2,z+1/2'
loop_
_atom_site_label
_atom_site_fract_x
_atom_site_fract_y
_atom_site_fract_z
Li1 0.000 0.000 0.000
Li2 0.250 0.250 0.000
Mn1 0.000 0.500 0.000
Se1 0.250 0.250 0.500
O1 0.017 0.253 0.511
O2 0.223 0.499 0.462
```

## Properties
Final energy: -5.614 eV per atom